No. 1
The following is a DFT calculation (PBE) of a relaxed SrCo2Ni crystal.

Output
Formation energy from the elements, eV per atom: 0.441
Magnetic moment, μB per cell: 3.15

Cell: 4.0738 4.0639 4.9328 Å, 77.16 90.00 90.00°
Last column: magnetic moment on the atom in μB.
Element x y z (fractional)
Sr 0.5000 0.7500 0.7500  -0.05
Co 0.0000 0.0197 0.1558  1.47
Co 0.0000 0.4803 0.3442  1.47
Ni 0.5000 0.2500 0.2500  0.47

No. 2
The following is a DFT calculation (PBE) of a relaxed SrCo2Ni2 crystal.

Output
Formation energy from the elements, eV per atom: 0.236
Energy relative to the lowest polymorph listed for this composition, kJ/mol of atoms: 0.0
Magnetic moment, μB per cell: 4.27

Cell: 4.0094 4.0094 5.7792 Å, 69.70 69.70 90.00°
Last column: magnetic moment on the atom in μB.
Element x y z (fractional)
Co 0.2500 0.7500 0.5000  1.61
Co 0.7500 0.2500 0.5000  1.61
Sr 0.0000 0.0000 0.0000  -0.05
Ni 0.6233 0.6233 0.7534  0.68
Ni 0.3767 0.3767 0.2466  0.68

No. 3
The following is a DFT calculation (PBE) of a relaxed Sr2CoNi crystal.

Output
Formation energy from the elements, eV per atom: 0.616
Energy relative to the lowest polymorph listed for this composition, kJ/mol of atoms: 46.6
Magnetic moment, μB per cell: 1.24

Cell: 4.1750 4.1750 8.0137 Å, 76.70 76.70 56.47°
Last column: magnetic moment on the atom in μB.
Element x y z (fractional)
Sr 0.5044 0.5044 0.4858  -0.04
Sr 0.9956 0.9956 0.0142  -0.04
Co 0.7500 0.7500 0.7500  1.66
Ni 0.2500 0.2500 0.2500  -0.02

No. 4
The following is a DFT calculation (PBE) of a relaxed SrCoNi2 crystal.

Output
Formation energy from the elements, eV per atom: 0.647
Magnetic moment, μB per cell: 1.90

Cell: 4.4980 4.4980 4.4980 Å, 60.00 60.00 60.00°
Last column: magnetic moment on the atom in μB.
Element x y z (fractional)
Co 0.5000 0.5000 0.5000  1.49
Ni 0.0000 0.0000 0.0000  0.10
Ni 0.2500 0.2500 0.2500  0.54
Sr 0.7500 0.7500 0.7500  -0.04

No. 5
The following is a DFT calculation (PBE) of a relaxed Sr2CoNi crystal.

Output
Formation energy from the elements, eV per atom: 0.451
Energy relative to the lowest polymorph listed for this composition, kJ/mol of atoms: 30.7
Magnetic moment, μB per cell: 1.22

Cell: 5.1769 5.1769 5.1769 Å, 60.00 60.00 60.00°
Last column: magnetic moment on the atom in μB.
Element x y z (fractional)
Co 0.0000 0.0000 0.0000  1.40
Ni 0.5000 0.5000 0.5000  0.31
Sr 0.7500 0.7500 0.7500  -0.06
Sr 0.2500 0.2500 0.2500  -0.06

No. 6
The following is a DFT calculation (PBE) of a relaxed SrCoNi crystal.

Output
Formation energy from the elements, eV per atom: 0.750
Energy relative to the lowest polymorph listed for this composition, kJ/mol of atoms: 55.3
Magnetic moment, μB per cell: 2.17

Cell: 4.4993 4.4993 4.4993 Å, 60.00 60.00 60.00°
Last column: magnetic moment on the atom in μB.
Element x y z (fractional)
Ni 0.0000 0.0000 0.0000  0.72
Co 0.7500 0.7500 0.7500  1.60
Sr 0.5000 0.5000 0.5000  -0.02

No. 7
The following is a DFT calculation (PBE) of a relaxed SrCoNi crystal.

Output
Formation energy from the elements, eV per atom: 1.391
Energy relative to the lowest polymorph listed for this composition, kJ/mol of atoms: 117.2
Magnetic moment, μB per cell: 1.63

Cell: 4.6336 4.6336 4.6336 Å, 60.00 60.00 60.00°
Last column: magnetic moment on the atom in μB.
Element x y z (fractional)
Co 0.0000 0.0000 0.0000  1.54
Sr 0.7500 0.7500 0.7500  -0.05
Ni 0.5000 0.5000 0.5000  0.25

No. 8
The following is a DFT calculation (PBE) of a relaxed SrCo2Ni crystal.

Output
Formation energy from the elements, eV per atom: 0.736
Magnetic moment, μB per cell: 3.79

Cell: 5.1729 5.1729 5.1729 Å, 136.09 136.09 63.85°
Last column: magnetic moment on the atom in μB.
Element x y z (fractional)
Sr 0.7500 0.2500 0.5000  -0.05
Co 0.0000 0.0000 0.0000  1.77
Co 0.5000 0.5000 0.0000  1.77
Ni 0.2500 0.7500 0.5000  0.44

No. 9
The following is a DFT calculation (PBE) of a relaxed SrCo2Ni2 crystal.

Output
Formation energy from the elements, eV per atom: 0.381
Energy relative to the lowest polymorph listed for this composition, kJ/mol of atoms: 14.0
Magnetic moment, μB per cell: 8.64

Cell: 7.3876 7.3876 2.6735 Å, 90.00 90.00 90.00°
Last column: magnetic moment on the atom in μB.
Element x y z (fractional)
Ni 0.1203 0.3797 0.0000  0.65
Ni 0.8797 0.6203 0.0000  0.65
Ni 0.3797 0.8797 0.0000  0.65
Ni 0.6203 0.1203 0.0000  0.65
Sr 0.5000 0.5000 0.0000  -0.08
Sr 0.0000 0.0000 0.0000  -0.08
Co 0.1665 0.6665 0.5000  1.65
Co 0.6665 0.8335 0.5000  1.70
Co 0.8335 0.3335 0.5000  1.65
Co 0.3335 0.1665 0.5000  1.70

No. 10
The following is a DFT calculation (PBE) of a relaxed SrCo2Ni crystal.

Output
Formation energy from the elements, eV per atom: 0.113
Magnetic moment, μB per cell: 3.44

Cell: 4.0762 4.0762 5.7716 Å, 69.44 69.44 59.98°
Last column: magnetic moment on the atom in μB.
Element x y z (fractional)
Co 0.0647 0.0647 0.8059  1.54
Co 0.4353 0.4353 0.6941  1.54
Sr 0.2500 0.2500 0.2500  -0.06
Ni 0.7500 0.7500 0.7500  0.68

No. 11
The following is a DFT calculation (PBE) of a relaxed SrCo2Ni crystal.

Output
Formation energy from the elements, eV per atom: 0.093
Magnetic moment, μB per cell: 3.35

Cell: 4.0667 4.0667 5.7750 Å, 69.48 69.48 59.98°
Last column: magnetic moment on the atom in μB.
Element x y z (fractional)
Ni 0.4370 0.4370 0.6883  0.63
Sr 0.2508 0.2508 0.2489  -0.07
Co 0.0636 0.0636 0.8090  1.52
Co 0.7486 0.7486 0.7538  1.58

No. 12
The following is a DFT calculation (PBE) of a relaxed SrCo2Ni crystal.

Output
Formation energy from the elements, eV per atom: 0.804
Magnetic moment, μB per cell: 3.18

Cell: 4.4998 4.4998 4.4998 Å, 60.00 60.00 60.00°
Last column: magnetic moment on the atom in μB.
Element x y z (fractional)
Ni 0.0000 0.0000 0.0000  0.64
Co 0.2500 0.2500 0.2500  1.43
Co 0.7500 0.7500 0.7500  1.43
Sr 0.5000 0.5000 0.5000  -0.07

What is the magnetic moment in the eighth record?
3.79 μB per cell

Look up the magnetic moment of the second one.
4.27 μB per cell